[1]
{"formula": "PrY3Er8", "functional": "PBE-GGA", "state": "relaxed", "e_form_ev_per_atom": 0.311, "e_tot_ev_per_atom": -4.75, "cell": [[7.9863, -3.1847, 0.0000], [7.9863, 3.1847, 0.0000], [-7.9764, 0.0000, 7.9979]], "species": ["Pr", "Y", "Y", "Y", "Er", "Er", "Er", "Er", "Er", "Er", "Er", "Er"], "frac_coords": [[0.0000, 0.0000, 0.0000], [0.0000, 0.0000, 0.5000], [0.5000, 0.5000, 0.2556], [0.5000, 0.5000, 0.7444], [0.0085, 0.5026, 0.2556], [0.1704, 0.1704, 0.4210], [0.1704, 0.1704, 0.9197], [0.4974, 0.9915, 0.7444], [0.5026, 0.0085, 0.2556], [0.8296, 0.8296, 0.0803], [0.8296, 0.8296, 0.5790], [0.9915, 0.4974, 0.7444]]}


[2]
{"formula": "In2Ga2Cl", "functional": "PBE-GGA", "state": "relaxed", "e_tot_ev_per_atom": -2.83, "e_form_raw_ev_per_atom": -0.158, "cell": [[8.2696, 0.0000, 0.0000], [0.0000, 8.2696, 0.0000], [0.0000, 0.0000, 3.6765]], "species": ["In", "In", "In", "In", "Ga", "Ga", "Ga", "Ga", "Cl", "Cl"], "frac_coords": [[0.1910, 0.3090, 0.0000], [0.3090, 0.8090, 0.0000], [0.6910, 0.1910, 0.0000], [0.8090, 0.6910, 0.0000], [0.1117, 0.6117, 0.5000], [0.3883, 0.1117, 0.5000], [0.6117, 0.8883, 0.5000], [0.8883, 0.3883, 0.5000], [0.0000, 0.0000, 0.0000], [0.5000, 0.5000, 0.0000]]}


[3]
{"formula": "ZrV3Zn", "functional": "PBE-GGA", "state": "relaxed", "e_form_ev_per_atom": 1.663, "e_tot_ev_per_atom": -5.77, "cell": [[4.6616, 0.0000, 0.0000], [0.0000, 4.6616, 0.0000], [0.0000, 0.0000, 4.6616]], "species": ["Zr", "V", "V", "V", "Zn"], "frac_coords": [[0.0000, 0.0000, 0.0000], [0.0000, 0.0000, 0.5000], [0.0000, 0.5000, 0.0000], [0.5000, 0.0000, 0.0000], [0.5000, 0.5000, 0.5000]]}


[4]
{"formula": "TiReB3", "functional": "PBE-GGA", "state": "relaxed", "e_form_ev_per_atom": 0.722, "e_tot_ev_per_atom": -7.35, "cell": [[4.0284, 0.0000, 0.0000], [0.0000, 4.0284, 0.0000], [0.0000, 0.0000, 4.0284]], "species": ["Ti", "Re", "B", "B", "B"], "frac_coords": [[0.0000, 0.0000, 0.0000], [0.5000, 0.5000, 0.5000], [0.0000, 0.5000, 0.5000], [0.5000, 0.0000, 0.5000], [0.5000, 0.5000, 0.0000]]}


[5]
{"formula": "Sr3PbN", "functional": "PBE-GGA", "state": "relaxed", "e_tot_ev_per_atom": -4.02, "e_form_raw_ev_per_atom": -0.606, "cell": [[6.2258, -3.9259, 0.0000], [6.2258, 3.9259, 0.0000], [-1.5360, 0.0000, 6.4401]], "species": ["Sr", "Sr", "Sr", "Sr", "Sr", "Sr", "Pb", "Pb", "N", "N"], "frac_coords": [[0.1348, 0.6997, 0.7138], [0.1579, 0.1579, 0.8176], [0.3003, 0.8652, 0.2862], [0.6997, 0.1348, 0.7138], [0.8421, 0.8421, 0.1824], [0.8652, 0.3003, 0.2862], [0.3580, 0.3580, 0.2832], [0.6420, 0.6420, 0.7168], [0.0000, 0.0000, 0.0000], [0.0000, 0.0000, 0.5000]]}


[6]
{"formula": "BeAsIr2", "functional": "PBE-GGA", "state": "relaxed", "e_form_ev_per_atom": -0.079, "e_tot_ev_per_atom": -6.60, "cell": [[3.0841, 0.0000, 0.0000], [0.0000, 3.0841, 0.0000], [0.0000, 0.0000, 5.7424]], "species": ["Be", "As", "Ir", "Ir"], "frac_coords": [[0.0000, 0.0000, 0.0000], [0.5000, 0.5000, 0.7127], [0.0000, 0.0000, 0.4981], [0.5000, 0.5000, 0.1395]]}


[7]
{"formula": "Al2CoSe", "functional": "PBE-GGA", "state": "relaxed", "e_tot_ev_per_atom": -4.53, "e_form_raw_ev_per_atom": -0.011, "cell": [[2.9001, 0.0000, 0.0000], [0.0000, 2.9001, 0.0000], [0.0000, 0.0000, 7.4310]], "species": ["Al", "Al", "Co", "Se"], "frac_coords": [[0.0000, 0.0000, 0.0000], [0.5000, 0.5000, 0.2655], [0.0000, 0.0000, 0.4709], [0.5000, 0.5000, 0.6634]]}


[8]
{"formula": "Ca2BeTl", "functional": "PBE-GGA", "state": "relaxed", "e_form_ev_per_atom": -0.005, "e_tot_ev_per_atom": -2.53, "cell": [[3.6340, 0.0000, 0.0000], [0.0000, 3.6051, 0.0000], [-0.0099, 0.0000, 7.8056]], "species": ["Ca", "Ca", "Be", "Tl"], "frac_coords": [[0.9999, 0.0000, 0.2198], [0.0001, 0.0000, 0.7802], [0.5000, 0.5000, 0.0000], [0.5000, 0.5000, 0.5000]]}


[9]
{"formula": "RbLiZnPbSe", "functional": "PBE-GGA", "state": "relaxed", "e_tot_ev_per_atom": -2.84, "e_form_raw_ev_per_atom": -0.570, "cell": [[-1.9579, 2.0418, 8.6364], [1.9579, -2.0418, 8.6364], [1.9579, 2.0418, -8.6364]], "species": ["Rb", "Li", "Zn", "Pb", "Se"], "frac_coords": [[0.0000, 0.0000, 0.0000], [0.8010, 0.3010, 0.5000], [0.2868, 0.7868, 0.5000], [0.6656, 0.6656, 0.0000], [0.3823, 0.3823, 0.0000]]}


[10]
{"formula": "YTmP2", "functional": "PBE-GGA", "state": "relaxed", "e_form_ev_per_atom": -1.617, "e_tot_ev_per_atom": -7.06, "cell": [[1.9915, 1.1498, 6.4973], [-1.9915, 1.1498, 6.4973], [0.0000, -2.2995, 6.4973]], "species": ["Y", "Tm", "P", "P"], "frac_coords": [[0.0000, 0.0000, 0.0000], [0.5000, 0.5000, 0.5000], [0.2486, 0.2486, 0.2486], [0.7514, 0.7514, 0.7514]]}


[11]
{"formula": "LuPaCo", "functional": "PBE-GGA", "state": "relaxed", "e_form_ev_per_atom": -0.144, "e_tot_ev_per_atom": -7.19, "cell": [[-1.6932, 1.6932, 5.5155], [1.6932, -1.6932, 5.5155], [1.6932, 1.6932, -5.5155]], "species": ["Lu", "Pa", "Co"], "frac_coords": [[0.0000, 0.0000, 0.0000], [0.2882, 0.2882, 0.0000], [0.6836, 0.6836, 0.0000]]}


[12]
{"formula": "DyEr2Ni", "functional": "PBE-GGA", "state": "relaxed", "e_form_ev_per_atom": -0.228, "e_tot_ev_per_atom": -5.11, "cell": [[1.8034, -5.9559, 0.0000], [1.8034, 5.9559, 0.0000], [0.0000, 0.0000, 9.4585]], "species": ["Dy", "Dy", "Er", "Er", "Er", "Er", "Ni", "Ni"], "frac_coords": [[0.0812, 0.9188, 0.7500], [0.9188, 0.0812, 0.2500], [0.3629, 0.6371, 0.5700], [0.3629, 0.6371, 0.9300], [0.6371, 0.3629, 0.0700], [0.6371, 0.3629, 0.4300], [0.2373, 0.7627, 0.2500], [0.7627, 0.2373, 0.7500]]}